Record 1
This record from OQMD via LeMat-Bulk describes a geometry-optimized DyAgSnTe2Se structure. The functional is PBE-GGA.

Geometry as POSCAR:
```
DyAgSnTe2Se
1.0
2.148 -7.294 0.000
2.148 7.294 0.000
0.000 0.000 10.538
Ag Dy Se Sn Te
2 2 2 2 4
direct
0.522 0.478 0.250 Ag
0.478 0.522 0.750 Ag
0.000 0.000 0.000 Dy
0.000 0.000 0.500 Dy
0.912 0.088 0.250 Se
0.088 0.912 0.750 Se
0.256 0.744 0.250 Sn
0.744 0.256 0.750 Sn
0.650 0.350 0.054 Te
0.650 0.350 0.446 Te
0.350 0.650 0.554 Te
0.350 0.650 0.946 Te
```

## Properties
Its space group is Cmcm. For the electronic total energy, the calculation gives -51.2 eV per cell.

Record 2
This record from OQMD via LeMat-Bulk describes a geometry-optimized TcNiBi2 structure. The functional is PBE-GGA.

Geometry as POSCAR:
```
TcNiBi2
1.0
2.447 1.413 3.996
-2.447 1.413 3.996
0.000 -2.826 3.996
Bi Ni Tc
2 1 1
direct
0.000 0.000 0.000 Bi
0.750 0.750 0.750 Bi
0.250 0.250 0.250 Ni
0.500 0.500 0.500 Tc
```

## Properties
Its space group is F-43m. For the electronic total energy, the calculation gives -20.4 eV per cell.

Record 3
This record from OQMD via LeMat-Bulk describes a geometry-optimized Tl2PtBr3Cl structure. The functional is PBE-GGA.

Geometry as POSCAR:
```
Tl2PtBr3Cl
1.0
4.387 0.000 0.000
0.000 5.194 5.346
0.000 -5.194 5.346
Br Cl Pt Tl
3 1 1 2
direct
0.000 0.228 0.228 Br
0.000 0.761 0.234 Br
0.000 0.234 0.761 Br
0.000 0.780 0.780 Cl
0.000 0.998 0.998 Pt
0.500 0.991 0.508 Tl
0.500 0.508 0.991 Tl
```

## Properties
Its space group is Amm2. For the electronic total energy, the calculation gives -22.2 eV per cell.

Record 4
This record from OQMD via LeMat-Bulk describes a geometry-optimized NaSiSbOs structure. The functional is PBE-GGA.

Geometry as POSCAR:
```
NaSiSbOs
1.0
0.000 3.276 3.276
3.276 0.000 3.276
3.276 3.276 0.000
Na Os Sb Si
1 1 1 1
direct
0.750 0.750 0.750 Na
0.500 0.500 0.500 Os
0.000 0.000 0.000 Sb
0.250 0.250 0.250 Si
```

## Properties
Its space group is F-43m. The calculation puts the offset from the most stable computed form at 47.4 kJ per mole of atoms.